No. 1
An optimized crystal structure of InAgW, computed with PBE.

a = 7.2617 Å, b = 7.1320 Å, c = 2.8590 Å
α = 81.10°, β = 76.01°, γ = 22.89°
Fractional positions:
Ag 0.0034 0.0034 0.9966
In 0.3306 0.3306 0.6694
W 0.6661 0.6661 0.3339

Summary:
crystal system = orthorhombic
space-group type = No. 42
formation energy from the elements = 0.5370 eV per atom
energy above the lowest structure with this stoichiometry = 21 meV/atom

No. 2
An optimized crystal structure of ZrAl4Co, computed with PBE.

a = 4.7460 Å, b = 6.1908 Å, c = 7.8184 Å
α = 113.32°, β = 107.58°, γ = 90.00°
Fractional positions:
Al 0.3887 0.6524 0.7743
Al 0.8418 0.3440 0.6881
Al 0.6113 0.3476 0.2257
Al 0.0000 0.1934 0.0000
Al 0.3887 0.1219 0.7743
Al 0.1582 0.6560 0.3119
Al 0.6113 0.8781 0.2257
Al 0.0000 0.8066 0.0000
Co 0.7334 0.5013 0.0026
Co 0.2666 0.4987 0.9974
Zr 0.7939 0.7944 0.5889
Zr 0.2061 0.2056 0.4111

Summary:
crystal system = monoclinic
space-group type = No. 12
formation energy from the elements = -0.3025 eV per atom

Number 1: electronic total energy -5.644 eV/atom, density of states at the Fermi level 0.291 states/eV/atom. Number 2: electronic total energy -5.407 eV/atom, density of states at the Fermi level 0.671 states/eV/atom.